1.
# CuMoW

CuMoW after structural relaxation (PBE, Alexandria via LeMat-Bulk).

```
data_CuMoW
_chemical_formula_sum 'Cu4 Mo4 W4'
_space_group_name_H-M_alt 'F -4 3 m'
_space_group_IT_number 216
_space_group_name_Hall 'F -4 2 3'
_cell_length_a 5.820
_cell_length_b 5.820
_cell_length_c 5.820
_cell_angle_alpha 90.00
_cell_angle_beta 90.00
_cell_angle_gamma 90.00
loop_
_atom_site_label
_atom_site_type_symbol
_atom_site_fract_x
_atom_site_fract_y
_atom_site_fract_z
_atom_site_occupancy
Cu1 Cu 0.000 0.000 0.000 1
Mo1 Mo 0.250 0.250 0.250 1
W1 W 0.250 0.250 0.750 1
```

## Properties
distance to the lowest polymorph of the same formula = 0.778 eV/atom
E_form = 1.010 eV/atom

2.
# Zr5Hg2Au2

Zr5Hg2Au2 after structural relaxation (PBE, Alexandria via LeMat-Bulk).

```
data_Zr5Hg2Au2
_chemical_formula_sum 'Zr20 Hg8 Au8'
_space_group_name_H-M_alt 'C m c e'
_space_group_IT_number 64
_space_group_name_Hall '-C 2ac 2'
_cell_length_a 14.741
_cell_length_b 7.600
_cell_length_c 7.214
_cell_angle_alpha 90.00
_cell_angle_beta 90.00
_cell_angle_gamma 90.00
loop_
_atom_site_label
_atom_site_type_symbol
_atom_site_fract_x
_atom_site_fract_y
_atom_site_fract_z
_atom_site_occupancy
Zr1 Zr 0.000 0.000 0.000 1
Zr2 Zr 0.130 0.180 0.337 1
Hg1 Hg 0.213 0.000 0.000 1
Au1 Au 0.000 0.127 0.634 1
```

## Properties
E_form = -0.206 eV/atom

3.
# Li6Ge2Au

Li6Ge2Au after structural relaxation (PBE, Alexandria via LeMat-Bulk).

```
data_Li6Ge2Au
_chemical_formula_sum 'Li12 Ge4 Au2'
_space_group_name_H-M_alt 'C 1 2/m 1'
_space_group_IT_number 12
_space_group_name_Hall '-C 2y'
_cell_length_a 13.183
_cell_length_b 7.661
_cell_length_c 2.697
_cell_angle_alpha 90.00
_cell_angle_beta 92.16
_cell_angle_gamma 90.00
loop_
_atom_site_label
_atom_site_type_symbol
_atom_site_fract_x
_atom_site_fract_y
_atom_site_fract_z
_atom_site_occupancy
Li1 Li 0.000 0.165 0.000 1
Li2 Li 0.167 0.332 0.988 1
Ge1 Ge 0.167 0.000 0.500 1
Au1 Au 0.000 0.500 0.500 1
```

## Properties
distance to the lowest polymorph of the same formula = 0.000 eV/atom
E_form = -0.353 eV/atom

4.
# SrAc2Cu

SrAc2Cu after structural relaxation (PBE, Alexandria via LeMat-Bulk).

```
data_SrAc2Cu
_chemical_formula_sum 'Sr4 Ac8 Cu4'
_space_group_name_H-M_alt 'C m c m'
_space_group_IT_number 63
_space_group_name_Hall '-C 2c 2'
_cell_length_a 5.135
_cell_length_b 12.997
_cell_length_c 8.889
_cell_angle_alpha 90.00
_cell_angle_beta 90.00
_cell_angle_gamma 90.00
loop_
_atom_site_label
_atom_site_type_symbol
_atom_site_fract_x
_atom_site_fract_y
_atom_site_fract_z
_atom_site_occupancy
Sr1 Sr 0.000 0.046 0.250 1
Ac1 Ac 0.000 0.349 0.040 1
Cu1 Cu 0.000 0.215 0.750 1
```

## Properties
distance to the lowest polymorph of the same formula = 0.017 eV/atom
E_form = 0.029 eV/atom

5.
# SrAlAs2

SrAlAs2 after structural relaxation (PBE, Alexandria via LeMat-Bulk).

```
data_SrAlAs2
_chemical_formula_sum 'Sr2 Al2 As4'
_space_group_name_H-M_alt 'C 1 m 1'
_space_group_IT_number 8
_space_group_name_Hall 'C -2y'
_cell_length_a 10.568
_cell_length_b 3.851
_cell_length_c 5.095
_cell_angle_alpha 90.00
_cell_angle_beta 104.48
_cell_angle_gamma 90.00
loop_
_atom_site_label
_atom_site_type_symbol
_atom_site_fract_x
_atom_site_fract_y
_atom_site_fract_z
_atom_site_occupancy
Sr1 Sr 0.000 0.000 0.000 1
Al1 Al 0.259 0.500 0.330 1
As1 As 0.238 0.000 0.655 1
As2 As 0.451 0.000 0.486 1
```

## Properties
E_form = -0.395 eV/atom

6.
# TbPmDy2Sb4

TbPmDy2Sb4 after structural relaxation (PBE, Alexandria via LeMat-Bulk).

```
data_TbPmDy2Sb4
_chemical_formula_sum 'Tb1 Pm1 Dy2 Sb4'
_space_group_name_H-M_alt 'P 1 2/m 1'
_space_group_IT_number 10
_space_group_name_Hall '-P 2y'
_cell_length_a 7.649
_cell_length_b 4.419
_cell_length_c 7.649
_cell_angle_alpha 90.00
_cell_angle_beta 109.48
_cell_angle_gamma 90.00
loop_
_atom_site_label
_atom_site_type_symbol
_atom_site_fract_x
_atom_site_fract_y
_atom_site_fract_z
_atom_site_occupancy
Tb1 Tb 0.000 0.000 0.000 1
Pm1 Pm 0.000 0.500 0.500 1
Dy1 Dy 0.500 0.000 0.500 1
Dy2 Dy 0.500 0.500 0.000 1
Sb1 Sb 0.253 0.500 0.248 1
Sb2 Sb 0.255 0.000 0.754 1
```

## Properties
raw formation energy = -1.148 eV/atom

7.
# La4ZnAg

La4ZnAg after structural relaxation (PBE, Alexandria via LeMat-Bulk).

```
data_La4ZnAg
_chemical_formula_sum 'La4 Zn1 Ag1'
_space_group_name_H-M_alt 'P 4/m m m'
_space_group_IT_number 123
_space_group_name_Hall '-P 4 2'
_cell_length_a 5.197
_cell_length_b 5.197
_cell_length_c 7.442
_cell_angle_alpha 90.00
_cell_angle_beta 90.00
_cell_angle_gamma 90.00
loop_
_atom_site_label
_atom_site_type_symbol
_atom_site_fract_x
_atom_site_fract_y
_atom_site_fract_z
_atom_site_occupancy
La1 La 0.000 0.500 0.236 1
Zn1 Zn 0.000 0.000 0.000 1
Ag1 Ag 0.500 0.500 0.500 1
```

## Properties
distance to the lowest polymorph of the same formula = 0.196 eV/atom
E_form = 0.021 eV/atom

8.
# LaTeNO2

LaTeNO2 after structural relaxation (PBE, Alexandria via LeMat-Bulk).

```
data_LaTeNO2
_chemical_formula_sum 'La1 Te1 N1 O2'
_space_group_name_H-M_alt 'P 4/m m m'
_space_group_IT_number 123
_space_group_name_Hall '-P 4 2'
_cell_length_a 4.231
_cell_length_b 4.231
_cell_length_c 4.322
_cell_angle_alpha 90.00
_cell_angle_beta 90.00
_cell_angle_gamma 90.00
loop_
_atom_site_label
_atom_site_type_symbol
_atom_site_fract_x
_atom_site_fract_y
_atom_site_fract_z
_atom_site_occupancy
La1 La 0.000 0.000 0.000 1
Te1 Te 0.500 0.500 0.500 1
N1 N 0.500 0.500 0.000 1
O1 O 0.000 0.500 0.500 1
```

## Properties
raw formation energy = -1.073 eV/atom

9.
# Ac3Cu5H12

Ac3Cu5H12 after structural relaxation (PBE, Alexandria via LeMat-Bulk).

```
data_Ac3Cu5H12
_chemical_formula_sum 'Ac24 Cu40 H96'
_space_group_name_H-M_alt 'I a -3 d'
_space_group_IT_number 230
_space_group_name_Hall '-I 4bd 2c 3'
_cell_length_a 12.361
_cell_length_b 12.361
_cell_length_c 12.361
_cell_angle_alpha 90.00
_cell_angle_beta 90.00
_cell_angle_gamma 90.00
loop_
_atom_site_label
_atom_site_type_symbol
_atom_site_fract_x
_atom_site_fract_y
_atom_site_fract_z
_atom_site_occupancy
Ac1 Ac 0.000 0.250 0.125 1
Cu1 Cu 0.000 0.000 0.000 1
Cu2 Cu 0.000 0.250 0.375 1
H1 H 0.042 0.042 0.646 1
```

10.
# AlCr2Fe

AlCr2Fe after structural relaxation (PBE, Alexandria via LeMat-Bulk).

```
data_AlCr2Fe
_chemical_formula_sum 'Al1 Cr2 Fe1'
_space_group_name_H-M_alt 'P m m m'
_space_group_IT_number 47
_space_group_name_Hall '-P 2 2'
_cell_length_a 2.939
_cell_length_b 3.918
_cell_length_c 4.167
_cell_angle_alpha 90.00
_cell_angle_beta 90.00
_cell_angle_gamma 90.00
loop_
_atom_site_label
_atom_site_type_symbol
_atom_site_fract_x
_atom_site_fract_y
_atom_site_fract_z
_atom_site_occupancy
Al1 Al 0.000 0.000 0.000 1
Cr1 Cr 0.000 0.500 0.500 1
Cr2 Cr 0.500 0.000 0.500 1
Fe1 Fe 0.500 0.500 0.000 1
```

## Properties
distance to the lowest polymorph of the same formula = 0.074 eV/atom
E_form = -0.067 eV/atom

11.
# SmEuCdBi

SmEuCdBi after structural relaxation (PBE, Alexandria via LeMat-Bulk).

```
data_SmEuCdBi
_chemical_formula_sum 'Sm4 Eu4 Cd4 Bi4'
_space_group_name_H-M_alt 'F -4 3 m'
_space_group_IT_number 216
_space_group_name_Hall 'F -4 2 3'
_cell_length_a 7.850
_cell_length_b 7.850
_cell_length_c 7.850
_cell_angle_alpha 90.00
_cell_angle_beta 90.00
_cell_angle_gamma 90.00
loop_
_atom_site_label
_atom_site_type_symbol
_atom_site_fract_x
_atom_site_fract_y
_atom_site_fract_z
_atom_site_occupancy
Sm1 Sm 0.000 0.000 0.000 1
Eu1 Eu 0.000 0.000 0.500 1
Cd1 Cd 0.250 0.250 0.750 1
Bi1 Bi 0.250 0.250 0.250 1
```

## Properties
E_form = -0.496 eV/atom

12.
# ScReOs2

ScReOs2 after structural relaxation (PBE, Alexandria via LeMat-Bulk).

```
data_ScReOs2
_chemical_formula_sum 'Sc1 Re1 Os2'
_space_group_name_H-M_alt 'P m m 2'
_space_group_IT_number 25
_space_group_name_Hall 'P 2 -2'
_cell_length_a 2.816
_cell_length_b 3.923
_cell_length_c 5.758
_cell_angle_alpha 90.00
_cell_angle_beta 90.00
_cell_angle_gamma 90.00
loop_
_atom_site_label
_atom_site_type_symbol
_atom_site_fract_x
_atom_site_fract_y
_atom_site_fract_z
_atom_site_occupancy
Sc1 Sc 0.000 0.000 0.000 1
Re1 Re 0.500 0.500 0.705 1
Os1 Os 0.000 0.000 0.497 1
Os2 Os 0.500 0.500 0.254 1
```

## Properties
E_form = 0.139 eV/atom

no.,final energy (eV/atom)
1,-8.284
2,-5.750
3,-3.020
4,-3.469
5,-4.076
6,-5.532
7,-3.951
8,-6.336
9,-3.791
10,-7.930
11,-5.443
12,-10.171